No. 1
First-principles (GGA-PBE) data for a relaxed structure of LiMg2Re, as listed in Alexandria.

The structure belongs to space group Pmm2 (No. 25); the cell edges are 2.712, 4.549 and 5.540 Å and the angles 90.00°, 90.00° and 90.00°. The asymmetric unit holds Li at (0.000, 0.000, 0.000), Mg at (0.000, 0.000, 0.551), Mg at (0.500, 0.500, 0.248) and Re at (0.500, 0.500, 0.752).

The calculation puts the magnetic moment at 0.000 μB per formula unit. Its density of states at the Fermi level is 0.78 states/eV/atom. The value obtained for the energy of formation from the pure elements is 357 meV per atom.

***

No. 2
First-principles (GGA-PBE) data for a relaxed structure of BeCrRe, as listed in Alexandria.

The structure belongs to space group I4mm (No. 107); the cell edges are 2.991, 2.991 and 7.913 Å and the angles 90.00°, 90.00° and 90.00°. The asymmetric unit holds Be at (0.000, 0.000, 0.000), Cr at (0.000, 0.000, 0.338) and Re at (0.000, 0.000, 0.669).

The calculation puts the magnetic moment at 0.516 μB per formula unit. Its density of states at the Fermi level is 0.85 states/eV/atom. The value obtained for the energy of formation from the pure elements is -44 meV per atom.

***

Question: Look up the magnetic moment of the second one.
Answer: 0.516 μB per formula unit

***

Question: Look up the magnetic moment of the second one.
Answer: 0.516 μB per formula unit